Computed, not measured: an optimized crystal structure of Nd2PuGaN5 at the PBE-GGA level of DFT.

Calculated total energy ... -8.546 eV/atom
Symmetry ... Cmc2_1
M_tot ... 4.00 Bohr magnetons per cell

abc: 3.4470 7.2429 10.4504
angles: 90.00 90.00 103.77
Last column: nearest neighbours and their distance in Å.
Fractional coordinates of all 18 atoms:
Nd 0.8708 0.7417 0.8084  7 N 2.47-2.71
Nd 0.1042 0.2084 0.6864  6 N 2.51-2.70
Nd 0.1292 0.2583 0.3084  7 N 2.47-2.71
Nd 0.8958 0.7916 0.1864  6 N 2.51-2.70
Pu 0.7904 0.5809 0.5172  6 N 2.04-2.22
Pu 0.2096 0.4191 0.0172  6 N 2.04-2.22
Ga 0.5417 0.0833 0.9516  3 N 1.90-1.98
Ga 0.4583 0.9167 0.4516  3 N 1.90-1.98
N 0.3539 0.7078 0.0022  1 Pu 2.04
N 0.6914 0.3828 0.8852  1 Ga 2.22, 2 Pu 2.22
N 0.4949 0.9898 0.7806  1 Ga 1.90
N 0.2820 0.5641 0.6485  2 Pu 2.21
N 0.9443 0.8887 0.5439  2 Ga 1.98, 1 Pu 2.18
N 0.6461 0.2922 0.5022  1 Pu 2.04
N 0.3086 0.6172 0.3852  1 Ga 2.22, 2 Pu 2.22
N 0.5051 0.0102 0.2806  1 Ga 1.90
N 0.7180 0.4359 0.1485  2 Pu 2.21
N 0.0557 0.1113 0.0439  2 Ga 1.98, 1 Pu 2.18

***

Computed, not measured: an optimized crystal structure of Dy3ThTl2 at the PBE-GGA level of DFT.

Symmetry ... P4/mmm
M_tot ... 0.15 Bohr magnetons per cell
Formation energy ... -0.24 eV/atom

abc: 3.6260 3.6260 13.0841
angles: 90.00 90.00 90.00
Last column: nearest neighbours and their distance in Å.
Fractional coordinates of all 6 atoms:
Dy 0.0000 0.0000 0.0000  8 Tl 3.31, 4 Dy 3.63
Dy 0.0000 0.0000 0.6812  4 Tl 3.30, 4 Th 3.49, 4 Dy 3.63
Dy 0.0000 0.0000 0.3188  4 Tl 3.30, 4 Th 3.49, 4 Dy 3.63
Th 0.5000 0.5000 0.5000  8 Dy 3.49, 4 Th 3.63
Tl 0.5000 0.5000 0.8400  8 Dy 3.30-3.31, 4 Tl 3.63
Tl 0.5000 0.5000 0.1600  8 Dy 3.30-3.31, 4 Tl 3.63